(1)
This record from the Alexandria database describes a relaxed BaCoMo2Rh crystal. The functional is PBE.

Unit cell a=4.5553 b=4.5553 c=5.0270 alpha=90.00 beta=90.00 gamma=90.00
Last column: nearest neighbours and their distance in Å.
Space group P4/mmm (No. 123)
Inequivalent atoms, fractional coordinates:
Ba (0.0000, 0.0000, 0.0000) x1  4 Rh 3.22, 8 Mo 3.39
Co (0.5000, 0.5000, 0.5000) x1  4 Mo 2.28, 2 Rh 2.51
Mo (0.0000, 0.5000, 0.5000) x2  2 Co 2.28
Rh (0.5000, 0.5000, 0.0000) x1  2 Co 2.51

Output
- Uncorrected energy: -32.95 eV for the cell shown
- M_tot: 2.2 Bohr magnetons per cell
- Volume: 20.86 A^3/atom

***

(2)
This record from the Alexandria database describes a relaxed MnSnGe3 crystal. The functional is PBE.

Unit cell a=4.7563 b=4.7563 c=4.7563 alpha=90.00 beta=90.00 gamma=90.00
Last column: nearest neighbours and their distance in Å.
Space group Pm-3m (No. 221)
Inequivalent atoms, fractional coordinates:
Mn (0.0000, 0.0000, 0.0000) x1  6 Ge 2.38
Sn (0.5000, 0.5000, 0.5000) x1  12 Ge 3.36
Ge (0.0000, 0.0000, 0.5000) x3  2 Mn 2.38

Output
- Uncorrected energy: -25.49 eV for the cell shown
- Energy above the most stable polymorph in this dataset: 0.0000 eV per atom
- M_tot: 0.0 Bohr magnetons per cell
- Volume: 21.52 A^3/atom

***

(3)
This record from the Alexandria database describes a relaxed Rb4Zr3AgTe8 crystal. The functional is PBE.

Unit cell a=8.6830 b=8.6830 c=25.4723 alpha=90.00 beta=90.00 gamma=120.00
Last column: nearest neighbours and their distance in Å.
Space group R-3m (No. 166, hexagonal axes)
Inequivalent atoms, fractional coordinates:
Rb (0.0000, 0.0000, 0.0000) x3  6 Te 3.59
Rb (0.0000, 0.5000, 0.0000) x9  6 Te 3.61-3.66
Zr (0.0000, 0.5000, 0.5000) x9  6 Te 2.95-3.00
Ag (0.0000, 0.0000, 0.5000) x3  6 Te 3.04
Te (0.0000, 0.0000, 0.2316) x6  3 Zr 3.00
Te (0.0091, 0.5046, 0.7702) x18  2 Zr 2.95, 1 Ag 3.04

Output
- Uncorrected energy: -213.17 eV for the cell shown
- M_tot: 0.0 Bohr magnetons per cell
- Energy relative to the elements, uncorrected: -0.847 eV per atom
- Volume: 34.66 A^3/atom

***

(4)
This record from the Alexandria database describes a relaxed NaIrRh3 crystal. The functional is PBE.

Unit cell a=4.3850 b=4.3850 c=4.3850 alpha=90.00 beta=90.00 gamma=90.00
Last column: nearest neighbours and their distance in Å.
Space group Pm-3m (No. 221)
Inequivalent atoms, fractional coordinates:
Na (0.0000, 0.0000, 0.0000) x1  6 Rh 2.19
Ir (0.5000, 0.5000, 0.5000) x1  12 Rh 3.10
Rh (0.0000, 0.0000, 0.5000) x3  2 Na 2.19

Output
- Uncorrected energy: -22.55 eV for the cell shown
- Energy above the most stable polymorph in this dataset: 0.9391 eV per atom
- M_tot: 2.6 Bohr magnetons per cell
- Volume: 16.86 A^3/atom

***

(5)
This record from the Alexandria database describes a relaxed KAsSe2Br crystal. The functional is PBE.

Unit cell a=6.0033 b=6.0033 c=6.2376 alpha=90.00 beta=90.00 gamma=90.00
Last column: nearest neighbours and their distance in Å.
Space group P4/mmm (No. 123)
Inequivalent atoms, fractional coordinates:
K (0.0000, 0.0000, 0.0000) x1  4 Se 3.00, 2 As 3.12
As (0.0000, 0.0000, 0.5000) x1  2 K 3.12
Se (0.0000, 0.5000, 0.0000) x2  2 K 3.00
Br (0.5000, 0.5000, 0.5000) x1  4 As 4.24, 8 Se 4.33

Output
- Uncorrected energy: -8.64 eV for the cell shown
- Energy above the most stable polymorph in this dataset: 1.5538 eV per atom
- M_tot: 3.8 Bohr magnetons per cell
- Energy relative to the elements, uncorrected: 1.150 eV per atom
- Volume: 44.96 A^3/atom

***

(6)
This record from the Alexandria database describes a relaxed AcLa4Pm3Se8 crystal. The functional is PBE.

Unit cell a=8.5900 b=8.5900 c=20.9990 alpha=90.00 beta=90.00 gamma=120.00
Last column: nearest neighbours and their distance in Å.
Space group R-3m (No. 166, hexagonal axes)
Inequivalent atoms, fractional coordinates:
Ac (0.0000, 0.0000, 0.0000) x3  6 Se 3.08
La (0.0000, 0.0000, 0.5000) x3  6 Se 2.99
La (0.0000, 0.5000, 0.5000) x9  6 Se 3.07
Pm (0.0000, 0.5000, 0.0000) x9  6 Se 3.00-3.01
Se (0.0000, 0.0000, 0.2525) x6  3 Pm 3.01, 3 La 3.07
Se (0.0081, 0.5041, 0.2507) x18  3 La 2.99-3.07, 2 Pm 3.00, 1 Ac 3.08

Output
- Uncorrected energy: -289.71 eV for the cell shown
- M_tot: 0.0 Bohr magnetons per cell
- Energy relative to the elements, uncorrected: -1.914 eV per atom
- Volume: 27.96 A^3/atom

***

(7)
This record from the Alexandria database describes a relaxed MnCoOs2 crystal. The functional is PBE.

Unit cell a=2.6550 b=2.6550 c=25.3264 alpha=90.00 beta=90.00 gamma=120.00
Last column: nearest neighbours and their distance in Å.
Space group R-3m (No. 166, hexagonal axes)
Inequivalent atoms, fractional coordinates:
Mn (0.0000, 0.0000, 0.0000) x3  6 Os 2.58, 6 Mn 2.65
Co (0.0000, 0.0000, 0.5000) x3  6 Os 2.63, 6 Co 2.65
Os (0.0000, 0.0000, 0.2513) x6  3 Mn 2.58, 3 Co 2.63, 6 Os 2.65

Output
- Uncorrected energy: -114.43 eV for the cell shown
- Energy above the most stable polymorph in this dataset: 0.0832 eV per atom
- M_tot: 6.6 Bohr magnetons per cell
- Volume: 12.88 A^3/atom

***

(8)
This record from the Alexandria database describes a relaxed Al2GaTc crystal. The functional is PBE.

Unit cell a=2.9255 b=2.9255 c=25.7741 alpha=90.00 beta=90.00 gamma=120.00
Last column: nearest neighbours and their distance in Å.
Space group R-3m (No. 166, hexagonal axes)
Inequivalent atoms, fractional coordinates:
Al (0.0000, 0.0000, 0.2432) x6  3 Tc 2.60, 3 Ga 2.87
Ga (0.0000, 0.0000, 0.0000) x3  6 Al 2.87, 6 Ga 2.93
Tc (0.0000, 0.0000, 0.5000) x3  6 Al 2.60

Output
- Uncorrected energy: -63.96 eV for the cell shown
- M_tot: 0.0 Bohr magnetons per cell
- Volume: 15.92 A^3/atom

***

(9)
This record from the Alexandria database describes a relaxed PaRePd crystal. The functional is PBE.

Unit cell a=3.1073 b=3.1073 c=11.8172 alpha=90.00 beta=90.00 gamma=90.00
Last column: nearest neighbours and their distance in Å.
Space group I4mm (No. 107)
Inequivalent atoms, fractional coordinates:
Pa (0.0000, 0.0000, 0.0000) x2  4 Re 2.91, 4 Pa 3.11, 4 Pd 3.19
Re (0.0000, 0.0000, 0.6611) x2  4 Pd 2.78, 4 Pa 2.91, 4 Re 3.11
Pd (0.0000, 0.0000, 0.3048) x2  4 Re 2.78, 4 Pd 3.11

Output
- Uncorrected energy: -53.37 eV for the cell shown
- Energy above the most stable polymorph in this dataset: 0.2304 eV per atom
- M_tot: 0.0 Bohr magnetons per cell
- Volume: 19.02 A^3/atom

***

What did the seventh record say?
This record from the Alexandria database describes a relaxed MnCoOs2 crystal. The functional is PBE.

Unit cell a=2.6550 b=2.6550 c=25.3264 alpha=90.00 beta=90.00 gamma=120.00
Last column: nearest neighbours and their distance in Å.
Space group R-3m (No. 166, hexagonal axes)
Inequivalent atoms, fractional coordinates:
Mn (0.0000, 0.0000, 0.0000) x3  6 Os 2.58, 6 Mn 2.65
Co (0.0000, 0.0000, 0.5000) x3  6 Os 2.63, 6 Co 2.65
Os (0.0000, 0.0000, 0.2513) x6  3 Mn 2.58, 3 Co 2.63, 6 Os 2.65

Output
- Uncorrected energy: -114.43 eV for the cell shown
- Energy above the most stable polymorph in this dataset: 0.0832 eV per atom
- M_tot: 6.6 Bohr magnetons per cell
- Volume: 12.88 A^3/atom

***

Which of these has the highest volume? KAsSe2Br